[1]
Nd3Zn22 | PBE-GGA | relaxed

Computed properties:
Fermi-level density of states = 0.31 states/eV per atom
space-group type = I4_1/amd, No. 141
uncorrected energy = -1.9623 eV/atom
ΔH_f (0 K) = -0.27 eV per atom

Unit cell a=8.8976 b=8.8976 c=12.3552 alpha=111.10 beta=111.10 gamma=90.00
Positions (direct):
Zn 0.3618 0.2098 0.7236
Zn 0.4862 0.6382 0.2764
Zn 0.6674 0.6940 0.8723
Zn 0.0286 0.7517 0.5033
Nd 0.3713 0.8713 0.7426
Zn 0.2483 0.9714 0.4967
Zn 0.6250 0.3750 0.7500
Zn 0.8217 0.3326 0.1277
Zn 0.5826 0.0560 0.6277
Zn 0.8448 0.4918 0.9837
Zn 0.0017 0.7786 0.0033
Zn 0.2483 0.5252 0.4967
Zn 0.3618 0.5138 0.7236
Zn 0.4283 0.9549 0.3723
Nd 0.1287 0.6287 0.2574
Zn 0.5082 0.1552 0.0163
Zn 0.7752 0.9983 0.9967
Zn 0.0451 0.0560 0.6277
Zn 0.8882 0.5402 0.7764
Nd 0.1213 0.1213 0.2426
Zn 0.2214 0.9983 0.9967
Zn 0.6250 0.8750 0.2500
Zn 0.5082 0.8612 0.0163
Zn 0.4052 0.2582 0.5163
Zn 0.8882 0.2362 0.7764
Zn 0.8217 0.7951 0.1277
Zn 0.2049 0.1783 0.8723
Zn 0.0451 0.5717 0.6277
Zn 0.5826 0.5717 0.6277
Zn 0.9440 0.9549 0.3723
Nd 0.7500 0.2500 0.5000
Zn 0.6250 0.3750 0.2500
Nd 0.5000 0.5000 0.0000
Zn 0.4283 0.4174 0.3723
Zn 0.3060 0.7951 0.1277
Zn 0.1112 0.2582 0.5163
Zn 0.9440 0.4174 0.3723
Zn 0.7418 0.5948 0.4837
Zn 0.7902 0.6382 0.2764
Zn 0.7418 0.8888 0.4837
Zn 0.4598 0.1118 0.2236
Zn 0.2049 0.6940 0.8723
Zn 0.6674 0.1783 0.8723
Zn 0.1250 0.3750 0.7500
Nd 0.8787 0.8787 0.7574
Zn 0.7638 0.1118 0.2236
Zn 0.4748 0.7517 0.5033
Zn 0.0017 0.2248 0.0033
Zn 0.1388 0.4918 0.9837
Zn 0.3060 0.3326 0.1277

***

[2]
Nd5Zn | PBE-GGA | relaxed

Computed properties:
Fermi-level density of states = 1.21 states/eV per atom
space-group type = P4/mmm, No. 123
E above lowest polymorph = 0.000 eV per atom
uncorrected energy = -4.2814 eV/atom
ΔH_f (0 K) = -0.10 eV per atom

Unit cell a=3.6890 b=3.6890 c=14.0748 alpha=90.00 beta=90.00 gamma=90.00
Positions (direct):
Nd 0.5000 0.5000 0.6840
Zn 0.5000 0.5000 0.0000
Nd 0.0000 0.0000 0.8705
Nd 0.0000 0.0000 0.1295
Nd 0.5000 0.5000 0.3160
Nd 0.0000 0.0000 0.5000

***

[3]
NdZn3 | PBE-GGA | relaxed

Computed properties:
Fermi-level density of states = 0.65 states/eV per atom
space-group type = Pnma, No. 62
uncorrected energy = -2.4833 eV/atom
ΔH_f (0 K) = -0.34 eV per atom

Unit cell a=4.5343 b=6.7822 c=10.2877 alpha=90.00 beta=90.00 gamma=90.00
Positions (direct):
Nd 0.7500 0.7193 0.3441
Zn 0.7500 0.0888 0.8523
Zn 0.2500 0.5343 0.1086
Zn 0.7500 0.9657 0.6086
Nd 0.2500 0.2807 0.6559
Zn 0.7500 0.7761 0.0462
Zn 0.2500 0.0343 0.3914
Zn 0.2500 0.4112 0.3523
Zn 0.7500 0.4657 0.8914
Zn 0.7500 0.5888 0.6477
Nd 0.2500 0.7807 0.8441
Zn 0.7500 0.2761 0.4538
Zn 0.2500 0.7239 0.5462
Zn 0.2500 0.2239 0.9538
Zn 0.2500 0.9112 0.1477
Nd 0.7500 0.2193 0.1559

***

[4]
Nd2Zn | PBE-GGA | relaxed

Computed properties:
Fermi-level density of states = 0.97 states/eV per atom
space-group type = P4/mmm, No. 123
uncorrected energy = -3.8108 eV/atom
ΔH_f (0 K) = -0.21 eV per atom

Unit cell a=3.6926 b=3.6926 c=12.5388 alpha=90.00 beta=90.00 gamma=90.00
Positions (direct):
Nd 0.0000 0.0000 0.5000
Nd 0.5000 0.5000 0.0000
Nd 0.5000 0.5000 0.7101
Nd 0.5000 0.5000 0.2899
Zn 0.0000 0.0000 0.1458
Zn 0.0000 0.0000 0.8542

***

[5]
NdZn4 | PBE-GGA | relaxed

Computed properties:
Fermi-level density of states = 0.94 states/eV per atom
space-group type = Pm-3m, No. 221
uncorrected energy = -1.0555 eV/atom
ΔH_f (0 K) = 0.92 eV per atom

Unit cell a=5.7700 b=5.7700 c=5.7700 alpha=90.00 beta=90.00 gamma=90.00
Positions (direct):
Zn 0.0000 0.5000 0.5000
Nd 0.5000 0.5000 0.5000
Zn 0.5000 0.5000 0.0000
Zn 0.5000 0.0000 0.5000
Zn 0.0000 0.0000 0.0000

***

[6]
Nd4Zn11 | PBE-GGA | relaxed

Computed properties:
Fermi-level density of states = 0.55 states/eV per atom
space-group type = I4_1/amd, No. 141
uncorrected energy = -2.2877 eV/atom
ΔH_f (0 K) = -0.08 eV per atom

Unit cell a=11.5380 b=11.5380 c=11.5380 alpha=92.93 beta=92.93 gamma=153.86
Positions (direct):
Zn 0.7365 0.6240 0.6004
Nd 0.7465 0.3893 0.3571
Nd 0.2178 0.3607 0.8571
Zn 0.3861 0.7737 0.8996
Zn 0.2263 0.1260 0.6124
Zn 0.3861 0.4864 0.6124
Zn 0.8639 0.9763 0.6004
Zn 0.5135 0.1260 0.8996
Zn 0.0237 0.6240 0.8876
Nd 0.6394 0.7822 0.1429
Zn 0.8639 0.2636 0.8876
Zn 0.0000 0.0000 0.0000
Zn 0.3760 0.9763 0.1124
Zn 0.7365 0.1361 0.1124
Nd 0.6106 0.2535 0.6429
Zn 0.2500 0.7500 0.5000
Nd 0.0322 0.3893 0.6429
Zn 0.6250 0.8750 0.7500
Zn 0.1250 0.8750 0.2500
Nd 0.6106 0.9678 0.3571
Zn 0.1250 0.3750 0.2500
Nd 0.6394 0.4965 0.8571
Zn 0.2263 0.6139 0.1004
Zn 0.1250 0.8750 0.7500
Zn 0.8740 0.4864 0.1004
Zn 0.3760 0.2636 0.3996
Zn 0.0237 0.1361 0.3996
Nd 0.5035 0.3607 0.1429
Zn 0.8740 0.7737 0.3876
Zn 0.5135 0.6139 0.3876